First-principles (PBE-GGA) data for an optimized crystal structure of Ti2CoCuRh, as listed in the Alexandria database.

Cell: 4.337 4.553 4.337 Å, 90.00 90.00 90.00°
Positions (direct):
Ti: 0.000 0.000 0.500
Ti: 0.500 0.000 0.000
Co: 0.000 0.000 0.000
Rh: 0.000 0.500 0.000
Cu: 0.500 0.500 0.500

Calculated values
Its spin magnetization is 0.0 μB/cell. As for the space group: No. 123. As for the formation energy from the elements: 476.7 meV per atom. Its density is 6.23 g/cm3.